1.
# HfFeS2N, optimized geometry, DFT PBE
data_HfFeS2N
_space_group_name_H-M_alt 'P 4/m m m'
_space_group_IT_number 123
_space_group_name_Hall '-P 4 2'
_cell_length_a 4.984
_cell_length_b 4.984
_cell_length_c 4.046
_cell_angle_alpha 90.00
_cell_angle_beta 90.00
_cell_angle_gamma 90.00
loop_
_atom_site_label
_atom_site_type_symbol
_atom_site_fract_x
_atom_site_fract_y
_atom_site_fract_z
Hf1 Hf 0.000 0.000 0.000
Fe1 Fe 0.500 0.500 0.500
S1 S 0.000 0.500 0.000
N1 N 0.000 0.000 0.500
# Formation energy without anion corrections, eV per formula unit: 0.9
# VASP energy, eV per cell: -34.14
# Energy above the lowest structure with this stoichiometry, eV/atom: 0.3463


2.
# HfFeSeN2, optimized geometry, DFT PBE
data_HfFeSeN2
_space_group_name_H-M_alt 'P 4/m m m'
_space_group_IT_number 123
_space_group_name_Hall '-P 4 2'
_cell_length_a 3.769
_cell_length_b 3.769
_cell_length_c 4.643
_cell_angle_alpha 90.00
_cell_angle_beta 90.00
_cell_angle_gamma 90.00
loop_
_atom_site_label
_atom_site_type_symbol
_atom_site_fract_x
_atom_site_fract_y
_atom_site_fract_z
Hf1 Hf 0.000 0.000 0.000
Fe1 Fe 0.500 0.500 0.500
Se1 Se 0.500 0.500 0.000
N1 N 0.000 0.500 0.500
# Formation energy without anion corrections, eV per formula unit: 2.1
# VASP energy, eV per cell: -36.45
# Energy above the lowest structure with this stoichiometry, eV/atom: 0.0000


3.
# HfFeSeN2, optimized geometry, DFT PBE
data_HfFeSeN2
_space_group_name_H-M_alt 'P 4/m m m'
_space_group_IT_number 123
_space_group_name_Hall '-P 4 2'
_cell_length_a 4.046
_cell_length_b 4.046
_cell_length_c 5.544
_cell_angle_alpha 90.00
_cell_angle_beta 90.00
_cell_angle_gamma 90.00
loop_
_atom_site_label
_atom_site_type_symbol
_atom_site_fract_x
_atom_site_fract_y
_atom_site_fract_z
Hf1 Hf 0.000 0.000 0.000
Fe1 Fe 0.500 0.500 0.500
Se1 Se 0.000 0.000 0.500
N1 N 0.000 0.500 0.000
# Formation energy without anion corrections, eV per formula unit: 2.5
# VASP energy, eV per cell: -36.01
# Energy above the lowest structure with this stoichiometry, eV/atom: 0.0888


4.
# Hf2FeSiN, optimized geometry, DFT PBE
data_Hf2FeSiN
_space_group_name_H-M_alt 'P 4/n m m'
_space_group_IT_number 129
_cell_length_a 3.514
_cell_length_b 3.514
_cell_length_c 11.195
_cell_angle_alpha 90.00
_cell_angle_beta 90.00
_cell_angle_gamma 90.00
loop_
_space_group_symop_operation_xyz
'x,y,z'
'-x,-y,-z'
'-y+1/2,x,z'
'y+1/2,-x,-z'
'-x+1/2,-y+1/2,z'
'x+1/2,y+1/2,-z'
'y,-x+1/2,z'
'-y,x+1/2,-z'
'x+1/2,-y,-z'
'-x+1/2,y,z'
'-y,-x,-z'
'y,x,z'
'-x,y+1/2,-z'
'x,-y+1/2,z'
'y+1/2,x+1/2,-z'
'-y+1/2,-x+1/2,z'
loop_
_atom_site_label
_atom_site_type_symbol
_atom_site_fract_x
_atom_site_fract_y
_atom_site_fract_z
Hf1 Hf 0.250 0.250 0.099
Hf2 Hf 0.250 0.250 0.715
Fe1 Fe 0.250 0.750 0.500
Si1 Si 0.250 0.250 0.357
N1 N 0.250 0.250 0.908
# Formation energy without anion corrections, eV per formula unit: -4.9
# VASP energy, eV per cell: -94.09
# Energy above the lowest structure with this stoichiometry, eV/atom: 0.0000


5.
# Hf2FeSiN, optimized geometry, DFT PBE
data_Hf2FeSiN
_space_group_name_H-M_alt 'P 4/m m m'
_space_group_IT_number 123
_space_group_name_Hall '-P 4 2'
_cell_length_a 4.431
_cell_length_b 4.431
_cell_length_c 3.659
_cell_angle_alpha 90.00
_cell_angle_beta 90.00
_cell_angle_gamma 90.00
loop_
_atom_site_label
_atom_site_type_symbol
_atom_site_fract_x
_atom_site_fract_y
_atom_site_fract_z
Hf1 Hf 0.000 0.500 0.000
Fe1 Fe 0.000 0.000 0.500
Si1 Si 0.500 0.500 0.500
N1 N 0.500 0.500 0.000
# Formation energy without anion corrections, eV per formula unit: -2.4
# VASP energy, eV per cell: -44.49
# Energy above the lowest structure with this stoichiometry, eV/atom: 0.5113


6.
# HfFeTeN2, optimized geometry, DFT PBE
data_HfFeTeN2
_space_group_name_H-M_alt 'P 4/m m m'
_space_group_IT_number 123
_space_group_name_Hall '-P 4 2'
_cell_length_a 3.901
_cell_length_b 3.901
_cell_length_c 4.924
_cell_angle_alpha 90.00
_cell_angle_beta 90.00
_cell_angle_gamma 90.00
loop_
_atom_site_label
_atom_site_type_symbol
_atom_site_fract_x
_atom_site_fract_y
_atom_site_fract_z
Hf1 Hf 0.000 0.000 0.000
Fe1 Fe 0.500 0.500 0.500
Te1 Te 0.500 0.500 0.000
N1 N 0.000 0.500 0.500
# Formation energy without anion corrections, eV per formula unit: 4.1
# VASP energy, eV per cell: -34.06
# Energy above the lowest structure with this stoichiometry, eV/atom: 0.2403


7.
# HfFeTeN2, optimized geometry, DFT PBE
data_HfFeTeN2
_space_group_name_H-M_alt 'P 4/m m m'
_space_group_IT_number 123
_space_group_name_Hall '-P 4 2'
_cell_length_a 4.089
_cell_length_b 4.089
_cell_length_c 6.006
_cell_angle_alpha 90.00
_cell_angle_beta 90.00
_cell_angle_gamma 90.00
loop_
_atom_site_label
_atom_site_type_symbol
_atom_site_fract_x
_atom_site_fract_y
_atom_site_fract_z
Hf1 Hf 0.000 0.000 0.000
Fe1 Fe 0.500 0.500 0.500
Te1 Te 0.000 0.000 0.500
N1 N 0.000 0.500 0.000
# Formation energy without anion corrections, eV per formula unit: 2.9
# VASP energy, eV per cell: -35.26
# Energy above the lowest structure with this stoichiometry, eV/atom: 0.0000


8.
# Hf3TiFe2N, optimized geometry, DFT PBE
data_Hf3TiFe2N
_space_group_name_H-M_alt 'I m m m'
_space_group_IT_number 71
_space_group_name_Hall '-I 2 2'
_cell_length_a 3.924
_cell_length_b 4.346
_cell_length_c 13.006
_cell_angle_alpha 90.00
_cell_angle_beta 90.00
_cell_angle_gamma 90.00
loop_
_atom_site_label
_atom_site_type_symbol
_atom_site_fract_x
_atom_site_fract_y
_atom_site_fract_z
Hf1 Hf 0.000 0.000 0.000
Hf2 Hf 0.000 0.500 0.181
Ti1 Ti 0.000 0.000 0.500
Fe1 Fe 0.000 0.500 0.369
N1 N 0.000 0.500 0.000
# Formation energy without anion corrections, eV per formula unit: -2.8
# VASP energy, eV per cell: -131.59


9.
# HfTi2FeN, optimized geometry, DFT PBE
data_HfTi2FeN
_space_group_name_H-M_alt 'P 4/m m m'
_space_group_IT_number 123
_space_group_name_Hall '-P 4 2'
_cell_length_a 4.814
_cell_length_b 4.814
_cell_length_c 3.462
_cell_angle_alpha 90.00
_cell_angle_beta 90.00
_cell_angle_gamma 90.00
loop_
_atom_site_label
_atom_site_type_symbol
_atom_site_fract_x
_atom_site_fract_y
_atom_site_fract_z
Hf1 Hf 0.000 0.000 0.000
Ti1 Ti 0.000 0.500 0.500
Fe1 Fe 0.500 0.500 0.500
N1 N 0.500 0.500 0.000
# Formation energy without anion corrections, eV per formula unit: 2.3
# VASP energy, eV per cell: -40.24


10.
# HfZr3Fe2N, optimized geometry, DFT PBE
data_HfZr3Fe2N
_space_group_name_H-M_alt 'I m m m'
_space_group_IT_number 71
_space_group_name_Hall '-I 2 2'
_cell_length_a 4.310
_cell_length_b 4.418
_cell_length_c 12.725
_cell_angle_alpha 90.00
_cell_angle_beta 90.00
_cell_angle_gamma 90.00
loop_
_atom_site_label
_atom_site_type_symbol
_atom_site_fract_x
_atom_site_fract_y
_atom_site_fract_z
Hf1 Hf 0.000 0.000 0.000
Zr1 Zr 0.000 0.000 0.500
Zr2 Zr 0.000 0.500 0.313
Fe1 Fe 0.000 0.500 0.124
N1 N 0.000 0.500 0.500
# Formation energy without anion corrections, eV per formula unit: -2.4
# VASP energy, eV per cell: -126.44


11.
# NaHfFe3, optimized geometry, DFT PBE
data_NaHfFe3
_space_group_name_H-M_alt 'P m -3 m'
_space_group_IT_number 221
_space_group_name_Hall '-P 4 2 3'
_cell_length_a 4.733
_cell_length_b 4.733
_cell_length_c 4.733
_cell_angle_alpha 90.00
_cell_angle_beta 90.00
_cell_angle_gamma 90.00
loop_
_atom_site_label
_atom_site_type_symbol
_atom_site_fract_x
_atom_site_fract_y
_atom_site_fract_z
Na1 Na 0.000 0.000 0.000
Hf1 Hf 0.500 0.500 0.500
Fe1 Fe 0.000 0.500 0.500
# VASP energy, eV per cell: -29.97
# Formation enthalpy at 0 K, eV/atom: 1.339
# Energy above the lowest structure with this stoichiometry, eV/atom: 0.0000


12.
# NaHf2Fe, optimized geometry, DFT PBE
data_NaHf2Fe
_space_group_name_H-M_alt 'I 41/a m d'
_space_group_IT_number 141
_cell_length_a 6.396
_cell_length_b 6.396
_cell_length_c 12.920
_cell_angle_alpha 90.00
_cell_angle_beta 90.00
_cell_angle_gamma 90.00
loop_
_space_group_symop_operation_xyz
'x,y,z'
'-x,-y,-z'
'-y+1/4,x+3/4,z+1/4'
'y+1/4,-x+3/4,-z+1/4'
'-x+1/2,-y,z+1/2'
'x+1/2,y,-z+1/2'
'y+1/4,-x+1/4,z+3/4'
'-y+1/4,x+1/4,-z+3/4'
'x,-y,-z'
'-x,y,z'
'-y+1/4,-x+1/4,-z+3/4'
'y+1/4,x+1/4,z+3/4'
'-x+1/2,y,-z+1/2'
'x+1/2,-y,z+1/2'
'y+1/4,x+3/4,-z+1/4'
'-y+1/4,-x+3/4,z+1/4'
'x+1/2,y+1/2,z+1/2'
'-x+1/2,-y+1/2,-z+1/2'
'-y+3/4,x+1/4,z+3/4'
'y+3/4,-x+1/4,-z+3/4'
'-x,-y+1/2,z'
'x,y+1/2,-z'
'y+3/4,-x+3/4,z+1/4'
'-y+3/4,x+3/4,-z+1/4'
'x+1/2,-y+1/2,-z+1/2'
'-x+1/2,y+1/2,z+1/2'
'-y+3/4,-x+3/4,-z+1/4'
'y+3/4,x+3/4,z+1/4'
'-x,y+1/2,-z'
'x,-y+1/2,z'
'y+3/4,x+1/4,-z+3/4'
'-y+3/4,-x+1/4,z+3/4'
loop_
_atom_site_label
_atom_site_type_symbol
_atom_site_fract_x
_atom_site_fract_y
_atom_site_fract_z
Na1 Na 0.000 0.250 0.375
Hf1 Hf 0.000 0.000 0.000
Fe1 Fe 0.000 0.250 0.875
# VASP energy, eV per cell: -99.40
# Formation enthalpy at 0 K, eV/atom: 1.210
# Energy above the lowest structure with this stoichiometry, eV/atom: 0.7918


- Which of these has the highest VASP energy?
  NaHfFe3


- The lowest VASP energy belongs to which entry?
  Hf3TiFe2N


- Which formula does entry 3 have?
  HfFeSeN2